1.
Crystalline BaZrH2 at its relaxed geometry. Source: the Alexandria database, functional PBE.

Structure (CIF):
```
data_BaZrH2
_symmetry_space_group_name_H-M 'F m -3 m'
_symmetry_Int_Tables_number 225
_symmetry_space_group_name_Hall '-F 4 2 3'
_cell_length_a 6.5273
_cell_length_b 6.5273
_cell_length_c 6.5273
_cell_angle_alpha 90.00
_cell_angle_beta 90.00
_cell_angle_gamma 90.00
loop_
_atom_site_label
_atom_site_type_symbol
_atom_site_fract_x
_atom_site_fract_y
_atom_site_fract_z
_atom_site_occupancy
Ba1 Ba 0.0000 0.0000 0.0000 1
Zr1 Zr 0.0000 0.0000 0.5000 1
H1 H 0.2500 0.2500 0.2500 1
```

Properties
Total DFT energy (no corrections) ... -0.1343 hartree per atom
Calculated volume ... 17.38 Å³/atom
Relative energy among the computed polymorphs ... 684 meV per atom


2.
Crystalline BaZrH2 at its relaxed geometry. Source: the Alexandria database, functional PBE.

Structure (CIF):
```
data_BaZrH2
_symmetry_space_group_name_H-M 'I -4 2 d'
_symmetry_Int_Tables_number 122
_symmetry_space_group_name_Hall 'I -4 2bw'
_cell_length_a 6.0340
_cell_length_b 6.0340
_cell_length_c 8.0600
_cell_angle_alpha 90.00
_cell_angle_beta 90.00
_cell_angle_gamma 90.00
loop_
_atom_site_label
_atom_site_type_symbol
_atom_site_fract_x
_atom_site_fract_y
_atom_site_fract_z
_atom_site_occupancy
Ba1 Ba 0.0000 0.0000 0.0000 1
Zr1 Zr 0.0000 0.0000 0.5000 1
H1 H 0.1551 0.2500 0.6250 1
```

Properties
Total DFT energy (no corrections) ... -0.1595 hartree per atom
Calculated volume ... 18.34 Å³/atom
Relative energy among the computed polymorphs ... 0 meV per atom


3.
Crystalline BaZrH3 at its relaxed geometry. Source: the Alexandria database, functional PBE.

Structure (CIF):
```
data_BaZrH3
_symmetry_space_group_name_H-M 'P m -3 m'
_symmetry_Int_Tables_number 221
_symmetry_space_group_name_Hall '-P 4 2 3'
_cell_length_a 4.2415
_cell_length_b 4.2415
_cell_length_c 4.2415
_cell_angle_alpha 90.00
_cell_angle_beta 90.00
_cell_angle_gamma 90.00
loop_
_atom_site_label
_atom_site_type_symbol
_atom_site_fract_x
_atom_site_fract_y
_atom_site_fract_z
_atom_site_occupancy
Ba1 Ba 0.0000 0.0000 0.0000 1
Zr1 Zr 0.5000 0.5000 0.5000 1
H1 H 0.0000 0.5000 0.5000 1
```

Properties
Total DFT energy (no corrections) ... -0.1593 hartree per atom
Calculated volume ... 15.26 Å³/atom
Relative energy among the computed polymorphs ... 0 meV per atom


4.
Crystalline BaZr2H2 at its relaxed geometry. Source: the Alexandria database, functional PBE.

Structure (CIF):
```
data_BaZr2H2
_symmetry_space_group_name_H-M 'P 4/m b m'
_symmetry_Int_Tables_number 127
_symmetry_space_group_name_Hall '-P 4 2ab'
_cell_length_a 8.5026
_cell_length_b 8.5026
_cell_length_c 3.0161
_cell_angle_alpha 90.00
_cell_angle_beta 90.00
_cell_angle_gamma 90.00
loop_
_atom_site_label
_atom_site_type_symbol
_atom_site_fract_x
_atom_site_fract_y
_atom_site_fract_z
_atom_site_occupancy
Ba1 Ba 0.0000 0.0000 0.0000 1
Zr1 Zr 0.1142 0.3858 0.0000 1
H1 H 0.0831 0.5831 0.5000 1
```

Properties
Total DFT energy (no corrections) ... -0.1637 hartree per atom
Calculated volume ... 21.80 Å³/atom
Relative energy among the computed polymorphs ... 723 meV per atom


5.
Crystalline Ba2ZrH2 at its relaxed geometry. Source: the Alexandria database, functional PBE.

Structure (CIF):
```
data_Ba2ZrH2
_symmetry_space_group_name_H-M 'P 4/m b m'
_symmetry_Int_Tables_number 127
_symmetry_space_group_name_Hall '-P 4 2ab'
_cell_length_a 8.1952
_cell_length_b 8.1952
_cell_length_c 3.6306
_cell_angle_alpha 90.00
_cell_angle_beta 90.00
_cell_angle_gamma 90.00
loop_
_atom_site_label
_atom_site_type_symbol
_atom_site_fract_x
_atom_site_fract_y
_atom_site_fract_z
_atom_site_occupancy
Ba1 Ba 0.1756 0.3244 0.0000 1
Zr1 Zr 0.0000 0.0000 0.5000 1
H1 H 0.1467 0.6467 0.5000 1
```

Properties
Total DFT energy (no corrections) ... -0.1284 hartree per atom
Calculated volume ... 24.38 Å³/atom
Relative energy among the computed polymorphs ... 125 meV per atom


6.
Crystalline BaZr2H2 at its relaxed geometry. Source: the Alexandria database, functional PBE.

Structure (CIF):
```
data_BaZr2H2
_symmetry_space_group_name_H-M 'I 4/m m m'
_symmetry_Int_Tables_number 139
_symmetry_space_group_name_Hall '-I 4 2'
_cell_length_a 3.9975
_cell_length_b 3.9975
_cell_length_c 13.2006
_cell_angle_alpha 90.00
_cell_angle_beta 90.00
_cell_angle_gamma 90.00
loop_
_atom_site_label
_atom_site_type_symbol
_atom_site_fract_x
_atom_site_fract_y
_atom_site_fract_z
_atom_site_occupancy
Ba1 Ba 0.0000 0.0000 0.0000 1
Zr1 Zr 0.0000 0.0000 0.2934 1
H1 H 0.0000 0.5000 0.2500 1
```

Properties
Total DFT energy (no corrections) ... -0.1903 hartree per atom
Calculated volume ... 21.09 Å³/atom
Relative energy among the computed polymorphs ... 0 meV per atom


7.
Crystalline Ba2ZrH at its relaxed geometry. Source: the Alexandria database, functional PBE.

Structure (CIF):
```
data_Ba2ZrH
_symmetry_space_group_name_H-M 'F m -3 m'
_symmetry_Int_Tables_number 225
_symmetry_space_group_name_Hall '-F 4 2 3'
_cell_length_a 8.3390
_cell_length_b 8.3390
_cell_length_c 8.3390
_cell_angle_alpha 90.00
_cell_angle_beta 90.00
_cell_angle_gamma 90.00
loop_
_atom_site_label
_atom_site_type_symbol
_atom_site_fract_x
_atom_site_fract_y
_atom_site_fract_z
_atom_site_occupancy
Ba1 Ba 0.2500 0.2500 0.2500 1
Zr1 Zr 0.0000 0.0000 0.0000 1
H1 H 0.0000 0.0000 0.5000 1
```

Properties
Total DFT energy (no corrections) ... -0.1116 hartree per atom
Calculated volume ... 36.24 Å³/atom
Relative energy among the computed polymorphs ... 401 meV per atom


8.
Crystalline Ba2ZrH2 at its relaxed geometry. Source: the Alexandria database, functional PBE.

Structure (CIF):
```
data_Ba2ZrH2
_symmetry_space_group_name_H-M 'P 4/m b m'
_symmetry_Int_Tables_number 127
_symmetry_space_group_name_Hall '-P 4 2ab'
_cell_length_a 8.4380
_cell_length_b 8.4380
_cell_length_c 3.2994
_cell_angle_alpha 90.00
_cell_angle_beta 90.00
_cell_angle_gamma 90.00
loop_
_atom_site_label
_atom_site_type_symbol
_atom_site_fract_x
_atom_site_fract_y
_atom_site_fract_z
_atom_site_occupancy
Ba1 Ba 0.1631 0.3369 0.0000 1
Zr1 Zr 0.0000 0.0000 0.0000 1
H1 H 0.1112 0.6112 0.5000 1
```

Properties
Total DFT energy (no corrections) ... -0.1211 hartree per atom
Calculated volume ... 23.49 Å³/atom
Relative energy among the computed polymorphs ... 325 meV per atom


9.
Crystalline BaZrH3 at its relaxed geometry. Source: the Alexandria database, functional PBE.

Structure (CIF):
```
data_BaZrH3
_symmetry_space_group_name_H-M 'P m -3 m'
_symmetry_Int_Tables_number 221
_symmetry_space_group_name_Hall '-P 4 2 3'
_cell_length_a 4.6451
_cell_length_b 4.6451
_cell_length_c 4.6451
_cell_angle_alpha 90.00
_cell_angle_beta 90.00
_cell_angle_gamma 90.00
loop_
_atom_site_label
_atom_site_type_symbol
_atom_site_fract_x
_atom_site_fract_y
_atom_site_fract_z
_atom_site_occupancy
Ba1 Ba 0.0000 0.0000 0.0000 1
Zr1 Zr 0.5000 0.5000 0.5000 1
H1 H 0.0000 0.0000 0.5000 1
```

Properties
Total DFT energy (no corrections) ... -0.1215 hartree per atom
Calculated volume ... 20.05 Å³/atom
Relative energy among the computed polymorphs ... 1028 meV per atom


10.
Crystalline BaHfHg3 at its relaxed geometry. Source: the Alexandria database, functional PBE.

Structure (CIF):
```
data_BaHfHg3
_symmetry_space_group_name_H-M 'P m -3 m'
_symmetry_Int_Tables_number 221
_symmetry_space_group_name_Hall '-P 4 2 3'
_cell_length_a 5.5597
_cell_length_b 5.5597
_cell_length_c 5.5597
_cell_angle_alpha 90.00
_cell_angle_beta 90.00
_cell_angle_gamma 90.00
loop_
_atom_site_label
_atom_site_type_symbol
_atom_site_fract_x
_atom_site_fract_y
_atom_site_fract_z
_atom_site_occupancy
Ba1 Ba 0.0000 0.0000 0.0000 1
Hf1 Hf 0.5000 0.5000 0.5000 1
Hg1 Hg 0.0000 0.5000 0.5000 1
```

Properties
Total DFT energy (no corrections) ... -0.0931 hartree per atom
Calculated volume ... 34.37 Å³/atom
Formation energy from the elements ... 0.024 eV per atom
Relative energy among the computed polymorphs ... 0 meV per atom


11.
Crystalline BaHf2Hg at its relaxed geometry. Source: the Alexandria database, functional PBE.

Structure (CIF):
```
data_BaHf2Hg
_symmetry_space_group_name_H-M 'I -4 2 d'
_symmetry_Int_Tables_number 122
_symmetry_space_group_name_Hall 'I -4 2bw'
_cell_length_a 4.4999
_cell_length_b 4.4999
_cell_length_c 22.5015
_cell_angle_alpha 90.00
_cell_angle_beta 90.00
_cell_angle_gamma 90.00
loop_
_atom_site_label
_atom_site_type_symbol
_atom_site_fract_x
_atom_site_fract_y
_atom_site_fract_z
_atom_site_occupancy
Ba1 Ba 0.0000 0.0000 0.0000 1
Hf1 Hf 0.2289 0.2500 0.6250 1
Hg1 Hg 0.0000 0.0000 0.5000 1
```

Properties
Total DFT energy (no corrections) ... -0.1795 hartree per atom
Calculated volume ... 28.48 Å³/atom
Formation energy from the elements ... 0.649 eV per atom


12.
Crystalline Ba3HfHg at its relaxed geometry. Source: the Alexandria database, functional PBE.

Structure (CIF):
```
data_Ba3HfHg
_symmetry_space_group_name_H-M 'P m -3 m'
_symmetry_Int_Tables_number 221
_symmetry_space_group_name_Hall '-P 4 2 3'
_cell_length_a 6.3170
_cell_length_b 6.3170
_cell_length_c 6.3170
_cell_angle_alpha 90.00
_cell_angle_beta 90.00
_cell_angle_gamma 90.00
loop_
_atom_site_label
_atom_site_type_symbol
_atom_site_fract_x
_atom_site_fract_y
_atom_site_fract_z
_atom_site_occupancy
Ba1 Ba 0.0000 0.0000 0.5000 1
Hf1 Hf 0.0000 0.0000 0.0000 1
Hg1 Hg 0.5000 0.5000 0.5000 1
```

Properties
Total DFT energy (no corrections) ... -0.0940 hartree per atom
Calculated volume ... 50.42 Å³/atom
Formation energy from the elements ... 0.647 eV per atom
Relative energy among the computed polymorphs ... 0 meV per atom